ErNbNi | PBE | relaxed

abc: 4.8323 4.8323 8.2218
angles: 90.00 90.00 120.00
Closest atoms and distances in Å follow each position.
Sites, in units of the cell vectors:
Er1 0.0000 0.0000 0.0000  5 Ni 2.79-2.92, 6 Nb 3.07
Er2 0.6667 0.3333 0.3074  4 Ni 2.53-2.82
Er3 0.6667 0.3333 0.6926  4 Ni 2.53-2.82
Nb1 0.3333 0.6667 0.1548  2 Nb 2.55-2.84
Nb2 0.3333 0.6667 0.5000  2 Nb 2.84, 6 Ni 3.03
Nb3 0.3333 0.6667 0.8452  2 Nb 2.55-2.84
Ni1 0.6667 0.3333 0.0000  5 Er 2.53-2.79
Ni2 0.0000 0.0000 0.3548  1 Ni 2.39
Ni3 0.0000 0.0000 0.6452  1 Ni 2.39

Summary:
Symmetry: P-6m2
ΔE_f in meV/atom: 137
Offset from the most stable computed form in kcal/mol of atoms: 0.00
DFT total energy in eV per atom: -6.604
Crystal system: hexagonal